Record 1
## Ta4MnZn (GGA-PBE)

Data for crystalline Ta4MnZn at its relaxed geometry.

ΔH_f (0 K) in eV per atom: 0.59

a b c (Å): 5.415 5.415 5.415
angles (deg): 60.00 60.00 60.00
Site moments in Bohr magnetons follow the coordinates.
Atoms (fractional coordinates):
Ta (0.875, 0.375, 0.375)  -0.11
Ta (0.375, 0.875, 0.375)  -0.11
Ta (0.375, 0.375, 0.375)  -0.11
Ta (0.375, 0.375, 0.875)  -0.11
Mn (0.000, 0.000, 0.000)  3.38
Zn (0.750, 0.750, 0.750)  -0.01

=====

Record 2
## CaCd2Si (GGA-PBE)

Data for crystalline CaCd2Si at its relaxed geometry.

Formation energy from raw total energies in eV per formula unit: 0.00

a b c (Å): 6.494 6.494 3.117
angles (deg): 75.97 75.97 123.97
Atoms (fractional coordinates):
Cd (0.500, 0.500, 0.000)
Cd (0.000, 0.000, 0.000)
Si (0.500, 0.000, 0.500)
Ca (0.000, 0.500, 0.500)